Entry 1:
This record from Alexandria via LeMat-Bulk describes a relaxed structure of Na4Tl2Hg. The functional is PBE.

## Properties
SG: R-3m (166)
Calculated volume (Å³ per atom): 28.9
E above lowest polymorph (meV/atom): 42
Calculated total energy (eV per cell): -10.89

a b c (Å): 8.3834 8.3834 8.3834
angles (deg): 38.17 38.17 38.17
Closest atoms and distances in Å follow each position.
Atoms (fractional coordinates):
Na 0.0831 0.0831 0.0831  4 Tl 3.18-3.24, 3 Na 3.39
Na 0.3643 0.3643 0.3643  1 Hg 3.16, 1 Tl 3.37, 6 Na 3.39-3.48
Na 0.6357 0.6357 0.6357  1 Hg 3.16, 1 Tl 3.37, 6 Na 3.39-3.48
Na 0.9169 0.9169 0.9169  4 Tl 3.18-3.24, 3 Na 3.39
Tl 0.2197 0.2197 0.2197  5 Na 3.18-3.37, 3 Hg 3.40
Tl 0.7803 0.7803 0.7803  5 Na 3.18-3.37, 3 Hg 3.40
Hg 0.5000 0.5000 0.5000  2 Na 3.16, 6 Tl 3.40

---

Entry 2:
This record from Alexandria via LeMat-Bulk describes a relaxed structure of TaHRu2Pt. The functional is PBE.

## Properties
SG: P4/mmm (123)
Calculated volume (Å³ per atom): 12.5
E above lowest polymorph (meV/atom): 9
Calculated total energy (eV per cell): -41.50

a b c (Å): 3.9450 3.9450 4.0105
angles (deg): 90.00 90.00 90.00
Closest atoms and distances in Å follow each position.
Atoms (fractional coordinates):
Ta 0.0000 0.0000 0.0000  2 H 2.01
H 0.0000 0.0000 0.5000  4 Ru 1.97, 2 Ta 2.01
Ru 0.0000 0.5000 0.5000  2 H 1.97
Ru 0.5000 0.0000 0.5000  2 H 1.97
Pt 0.5000 0.5000 0.0000  4 Ta 2.79, 8 Ru 2.81